## AcZn2NiF8 (PBE with a Hubbard U)

Data for a geometry-optimized AcZn2NiF8 structure.

- magnetic moment (μB/f.u.) = 1.5
- symmetry = No. 164
- raw total energy (eV/cell) = -54.179

Lattice parameters (Å, degrees): 5.968 5.968 6.900 90.00 90.00 120.00
Fractional coordinates of all 12 atoms:
Ac: 0.000 0.000 0.000
Zn: 0.333 0.667 0.232
Zn: 0.667 0.333 0.768
Ni: 0.000 0.000 0.500
F: 0.147 0.294 0.295
F: 0.147 0.853 0.295
F: 0.294 0.147 0.705
F: 0.333 0.667 0.952
F: 0.667 0.333 0.048
F: 0.706 0.853 0.295
F: 0.853 0.147 0.705
F: 0.853 0.706 0.705